# Tm3Mg3AlPt2

A relaxed structure of Tm3Mg3AlPt2 (PBE-GGA, OQMD).

Cell: 7.349 7.349 4.135 Å, 90.00 90.00 120.00°
Fractional coordinates of all 9 atoms:
1 Tm 0.000 0.577 0.000
2 Tm 0.423 0.423 0.000
3 Tm 0.577 0.000 0.000
4 Mg 0.000 0.252 0.500
5 Mg 0.252 0.000 0.500
6 Mg 0.748 0.748 0.500
7 Al 0.000 0.000 0.000
8 Pt 0.333 0.667 0.500
9 Pt 0.667 0.333 0.500

Values from the calculation:
electronic total energy: -4.468 eV/atom